# BaTe2I8 GGA-PBE relaxed
data_BaTe2I8
_space_group_name_H-M_alt 'P 1'
_space_group_IT_number 1
_space_group_name_Hall 'P 1'
_cell_length_a 8.4730
_cell_length_b 8.4730
_cell_length_c 9.3877
_cell_angle_alpha 115.25
_cell_angle_beta 115.25
_cell_angle_gamma 63.26
loop_
_atom_site_label
_atom_site_type_symbol
_atom_site_fract_x
_atom_site_fract_y
_atom_site_fract_z
Ba1 Ba 0.0000 0.0000 0.0000
Te1 Te 0.1477 0.1477 0.5689
Te2 Te 0.8523 0.8523 0.4311
I1 I 0.1811 0.7253 0.2548
I2 I 0.2538 0.2538 0.3828
I3 I 0.2747 0.8189 0.7452
I4 I 0.3376 0.3376 0.8671
I5 I 0.6624 0.6624 0.1329
I6 I 0.7253 0.1811 0.2548
I7 I 0.7462 0.7462 0.6172
I8 I 0.8189 0.2747 0.7452
# size of the total moment = 0.01 μB per cell
# electronic total energy = -25.0 eV/cell
# crystal system = monoclinic
# ΔE_f (raw) = -0.40 eV per atom